{"formula": "Er5TmSc", "functional": "PBE", "state": "optimized geometry", "e_form_kj_per_mol_fu": 24, "volume_a3_per_atom": 29.5, "cell": [[7.666, -4.068, 2.989], [-1.869, 7.483, 0.864], [2.661, -1.541, 5.159]], "species": ["Er", "Er", "Er", "Er", "Er", "Tm", "Sc"], "frac_coords": [[0.573, 0.217, 0.498], [0.426, 0.357, 0.218], [0.714, 0.071, 0.783], [0.998, 0.783, 0.359], [0.146, 0.643, 0.639], [0.857, 0.929, 0.074], [0.286, 0.500, 0.928]]}

***

{"formula": "Sr2CaHgIr", "functional": "PBE", "state": "optimized geometry", "e_form_kj_per_mol_fu": -109, "volume_a3_per_atom": 36.9, "cell": [[5.810, 0.000, 0.000], [0.000, 5.810, 0.000], [0.000, 0.000, 5.461]], "species": ["Sr", "Sr", "Ca", "Ir", "Hg"], "frac_coords": [[0.000, 0.500, 0.000], [0.500, 0.000, 0.000], [0.000, 0.000, 0.500], [0.000, 0.000, 0.000], [0.500, 0.500, 0.500]]}

***

{"formula": "MnPCS", "functional": "PBE", "state": "optimized geometry", "e_form_raw_ev_per_atom": 0.3507, "volume_a3_per_atom": 15.5, "cell": [[-0.710, -3.021, -1.791], [0.456, -4.086, 2.041], [-4.725, -2.352, -0.029]], "species": ["P", "S", "Mn", "C"], "frac_coords": [[0.584, 0.004, 0.991], [0.122, 0.466, 0.468], [0.379, 0.609, 0.937], [0.007, 0.678, 0.734]]}

***

{"formula": "Li3Sc3AsO8", "functional": "PBE", "state": "optimized geometry", "e_form_raw_ev_per_atom": -2.5536, "volume_a3_per_atom": 11.0, "cell": [[-3.355, 2.280, 4.725], [2.419, -5.726, 0.377], [3.607, 4.922, 0.185]], "species": ["Li", "Li", "Li", "Sc", "Sc", "Sc", "As", "O", "O", "O", "O", "O", "O", "O", "O"], "frac_coords": [[0.000, 0.000, 0.000], [0.000, 0.500, 0.000], [0.500, 0.500, 0.000], [0.500, 0.000, 0.500], [0.500, 0.500, 0.500], [0.000, 0.500, 0.500], [0.000, 0.000, 0.500], [0.258, 0.517, 0.275], [0.742, 0.483, 0.725], [0.772, 0.544, 0.282], [0.228, 0.456, 0.718], [0.772, 0.010, 0.282], [0.228, 0.990, 0.718], [0.238, 0.010, 0.282], [0.762, 0.990, 0.718]]}

***

{"formula": "Hf2NbCdN", "functional": "PBE", "state": "optimized geometry", "e_form_raw_ev_per_atom": -0.6110, "volume_a3_per_atom": 17.2, "cell": [[4.511, 0.000, 0.000], [0.000, 4.511, 0.000], [0.000, 0.000, 4.224]], "species": ["Nb", "N", "Hf", "Hf", "Cd"], "frac_coords": [[0.000, 0.000, 0.500], [0.000, 0.000, 0.000], [0.000, 0.500, 0.000], [0.500, 0.000, 0.000], [0.500, 0.500, 0.500]]}

***

{"formula": "Tb4Te2SN2", "functional": "PBE", "state": "optimized geometry", "e_form_raw_ev_per_atom": -1.6655, "volume_a3_per_atom": 23.7, "cell": [[-1.619, 3.416, -1.302], [-0.144, -2.651, -6.779], [-5.832, -3.598, 3.950]], "species": ["Tb", "Tb", "Tb", "Tb", "Te", "Te", "S", "N", "N"], "frac_coords": [[0.209, 0.149, 0.419], [0.791, 0.851, 0.581], [0.544, 0.773, 0.088], [0.456, 0.227, 0.912], [0.132, 0.536, 0.264], [0.868, 0.464, 0.736], [0.000, 0.000, 0.000], [0.674, 0.987, 0.349], [0.326, 0.013, 0.651]]}

***

Number 1: total magnetization 0.0 μB per formula unit. Number 2: total magnetization 0.0 μB per formula unit. Number 3: total magnetization 2.0 μB per formula unit. Number 4: total magnetization 0.0 μB per formula unit. Number 5: total magnetization 0.0 μB per formula unit. Number 6: total magnetization 0.0 μB per formula unit.